## 1
The following is a DFT calculation (PBE) of a geometry-optimized Tl6SnBi2 structure.

## Properties
N(E_F): 0.455 states/eV per atom

a = 3.4701 Å, b = 3.4701 Å, c = 27.4804 Å
α = 90.00°, β = 90.00°, γ = 120.00°
With the nearest neighbours (Å) after each atom.
Positions (direct):
Tl  0.0000  0.0000  0.0645  7 Tl 3.47-3.55, 3 Bi 3.57
Tl  0.0000  0.0000  0.2811  9 Tl 3.47-3.78, 3 Bi 3.60
Tl  0.0000  0.0000  0.7189  9 Tl 3.47-3.78, 3 Bi 3.60
Tl  0.0000  0.0000  0.9355  7 Tl 3.47-3.55, 3 Bi 3.57
Tl  0.3333  0.6667  0.3978  3 Sn 3.45, 9 Tl 3.47-3.78
Tl  0.3333  0.6667  0.6022  3 Sn 3.45, 9 Tl 3.47-3.78
Sn  0.0000  0.0000  0.5000  6 Tl 3.45, 6 Sn 3.47
Bi  0.3333  0.6667  0.1722  6 Bi 3.47, 6 Tl 3.57-3.60
Bi  0.3333  0.6667  0.8278  6 Bi 3.47, 6 Tl 3.57-3.60

=====

## 2
The following is a DFT calculation (PBE) of a geometry-optimized Tl6SnBi2 structure.

## Properties
N(E_F): 0.452 states/eV per atom

a = 8.1387 Å, b = 8.1387 Å, c = 8.0545 Å
α = 106.70°, β = 106.70°, γ = 33.92°
With the nearest neighbours (Å) after each atom.
Positions (direct):
Tl  0.1118  0.1118  0.1624  4 Bi 3.46-3.55, 7 Tl 3.50-3.76, 1 Sn 3.64
Tl  0.2131  0.2131  0.8287  8 Tl 3.47-3.74, 2 Bi 3.50, 1 Sn 3.57
Tl  0.3391  0.3391  0.5004  2 Sn 3.45, 8 Tl 3.47-3.76, 2 Bi 3.47-3.55
Tl  0.6609  0.6609  0.4996  2 Sn 3.45, 8 Tl 3.47-3.76, 2 Bi 3.47-3.55
Tl  0.7869  0.7869  0.1713  8 Tl 3.47-3.74, 2 Bi 3.50, 1 Sn 3.57
Tl  0.8882  0.8882  0.8376  4 Bi 3.46-3.55, 7 Tl 3.50-3.76, 1 Sn 3.64
Sn  0.0000  0.0000  0.5000  4 Bi 3.42, 8 Tl 3.45-3.64
Bi  0.4534  0.4534  0.1801  2 Sn 3.42, 8 Tl 3.46-3.55, 1 Bi 3.61
Bi  0.5466  0.5466  0.8199  2 Sn 3.42, 8 Tl 3.46-3.55, 1 Bi 3.61

=====

Of them, the most stable is 2 and the least stable is 1.

=====

## 1
The following is a DFT calculation (PBE) of a geometry-optimized TlSnBi3 structure.

## Properties
N(E_F): 0.410 states/eV per atom

a = 7.5422 Å, b = 7.5422 Å, c = 7.5422 Å
α = 66.49°, β = 66.49°, γ = 66.49°
With the nearest neighbours (Å) after each atom.
Positions (direct):
Tl  0.0909  0.0909  0.0909  1 Tl 3.18, 6 Bi 3.31-3.43
Tl  0.9091  0.9091  0.9091  1 Tl 3.18, 6 Bi 3.31-3.43
Sn  0.4043  0.4043  0.4043  6 Bi 3.24-3.25, 1 Sn 3.35
Sn  0.5957  0.5957  0.5957  6 Bi 3.24-3.25, 1 Sn 3.35
Bi  0.0226  0.2598  0.4800  2 Sn 3.24-3.25, 3 Bi 3.28-3.62, 2 Tl 3.31-3.43
Bi  0.2598  0.4800  0.0226  2 Sn 3.24-3.25, 3 Bi 3.28-3.62, 2 Tl 3.31-3.43
Bi  0.4800  0.0226  0.2598  2 Sn 3.24-3.25, 3 Bi 3.28-3.62, 2 Tl 3.31-3.43
Bi  0.5200  0.9774  0.7402  2 Sn 3.24-3.25, 3 Bi 3.28-3.62, 2 Tl 3.31-3.43
Bi  0.7402  0.5200  0.9774  2 Sn 3.24-3.25, 3 Bi 3.28-3.62, 2 Tl 3.31-3.43
Bi  0.9774  0.7402  0.5200  2 Sn 3.24-3.25, 3 Bi 3.28-3.62, 2 Tl 3.31-3.43

=====

## 2
The following is a DFT calculation (PBE) of a geometry-optimized TlSnBi3 structure.

## Properties
N(E_F): 0.841 states/eV per atom

a = 5.8733 Å, b = 5.8733 Å, c = 5.8733 Å
α = 90.00°, β = 90.00°, γ = 90.00°
With the nearest neighbours (Å) after each atom.
Positions (direct):
Tl  0.0000  0.0000  0.0000  12 Bi 4.15
Sn  0.5000  0.5000  0.5000  6 Bi 2.94
Bi  0.0000  0.5000  0.5000  2 Sn 2.94
Bi  0.5000  0.0000  0.5000  2 Sn 2.94
Bi  0.5000  0.5000  0.0000  2 Sn 2.94

=====

Of them, the most stable is 1 and the least stable is 2.

=====

## 1
The following is a DFT calculation (PBE) of a geometry-optimized USn2Bi structure.

## Properties
N(E_F): 2.079 states/eV per atom

a = 4.6520 Å, b = 4.6520 Å, c = 4.8675 Å
α = 90.00°, β = 90.00°, γ = 90.00°
With the nearest neighbours (Å) after each atom.
Positions (direct):
U  0.0000  0.0000  0.0000  4 Bi 3.29, 8 Sn 3.37
Sn  0.0000  0.5000  0.5000  4 Sn 3.29, 4 Bi 3.37, 4 U 3.37
Sn  0.5000  0.0000  0.5000  4 Sn 3.29, 4 Bi 3.37, 4 U 3.37
Bi  0.5000  0.5000  0.0000  4 U 3.29, 8 Sn 3.37

=====

## 2
The following is a DFT calculation (PBE) of a geometry-optimized USn2Bi structure.

## Properties
N(E_F): 1.351 states/eV per atom

a = 4.1196 Å, b = 4.1196 Å, c = 6.4043 Å
α = 90.00°, β = 90.00°, γ = 90.00°
With the nearest neighbours (Å) after each atom.
Positions (direct):
U  0.0000  0.0000  0.0000  2 Bi 3.20, 8 Sn 3.30
Sn  0.5000  0.5000  0.2414  2 Sn 3.09-3.31, 4 U 3.30, 4 Bi 3.35
Sn  0.5000  0.5000  0.7586  2 Sn 3.09-3.31, 4 U 3.30, 4 Bi 3.35
Bi  0.0000  0.0000  0.5000  2 U 3.20, 8 Sn 3.35

=====

Of them, the most stable is 1 and the least stable is 2.

=====

## 1
The following is a DFT calculation (PBE) of a geometry-optimized V2SnBi structure.

## Properties
N(E_F): 1.880 states/eV per atom

a = 7.5737 Å, b = 7.5737 Å, c = 6.2946 Å
α = 90.00°, β = 90.00°, γ = 90.00°
With the nearest neighbours (Å) after each atom.
Positions (direct):
V  0.2393  0.2500  0.1250  2 Sn 2.74, 2 Bi 2.85
V  0.2500  0.7393  0.3750  2 Sn 2.74, 2 Bi 2.85
V  0.2500  0.7607  0.8750  2 Sn 2.74, 2 Bi 2.85
V  0.2607  0.2500  0.6250  2 Sn 2.74, 2 Bi 2.85
V  0.7393  0.7500  0.6250  2 Sn 2.74, 2 Bi 2.85
V  0.7500  0.2393  0.8750  2 Sn 2.74, 2 Bi 2.85
V  0.7500  0.2607  0.3750  2 Sn 2.74, 2 Bi 2.85
V  0.7607  0.7500  0.1250  2 Sn 2.74, 2 Bi 2.85
Sn  0.0000  0.0000  0.0000  4 V 2.74
Sn  0.0000  0.5000  0.2500  4 V 2.74
Sn  0.5000  0.0000  0.7500  4 V 2.74
Sn  0.5000  0.5000  0.5000  4 V 2.74
Bi  0.0000  0.0000  0.5000  4 V 2.85, 2 Sn 3.15
Bi  0.0000  0.5000  0.7500  4 V 2.85, 2 Sn 3.15
Bi  0.5000  0.0000  0.2500  4 V 2.85, 2 Sn 3.15
Bi  0.5000  0.5000  0.0000  4 V 2.85, 2 Sn 3.15

=====

## 2
The following is a DFT calculation (PBE) of a geometry-optimized V2SnBi structure.

## Properties
N(E_F): 0.819 states/eV per atom

a = 6.7077 Å, b = 6.7077 Å, c = 6.7077 Å
α = 90.00°, β = 90.00°, γ = 90.00°
With the nearest neighbours (Å) after each atom.
Positions (direct):
V  0.2500  0.2500  0.2500  4 Sn 2.90, 4 Bi 2.90
V  0.2500  0.2500  0.7500  4 Sn 2.90, 4 Bi 2.90
V  0.2500  0.7500  0.2500  4 Sn 2.90, 4 Bi 2.90
V  0.2500  0.7500  0.7500  4 Sn 2.90, 4 Bi 2.90
V  0.7500  0.2500  0.2500  4 Sn 2.90, 4 Bi 2.90
V  0.7500  0.2500  0.7500  4 Sn 2.90, 4 Bi 2.90
V  0.7500  0.7500  0.2500  4 Sn 2.90, 4 Bi 2.90
V  0.7500  0.7500  0.7500  4 Bi 2.90, 4 Sn 2.90
Sn  0.0000  0.0000  0.0000  8 V 2.90
Sn  0.0000  0.5000  0.5000  8 V 2.90
Sn  0.5000  0.0000  0.5000  8 V 2.90
Sn  0.5000  0.5000  0.0000  8 V 2.90
Bi  0.0000  0.0000  0.5000  8 V 2.90
Bi  0.0000  0.5000  0.0000  8 V 2.90
Bi  0.5000  0.0000  0.0000  8 V 2.90
Bi  0.5000  0.5000  0.5000  8 V 2.90

=====

Of them, the most stable is 2 and the least stable is 1.